(1)
A geometry-optimized NaNi3P3 structure. Source: Alexandria via LeMat-Bulk, functional PBE-GGA.

Unit cell a=6.4064 b=6.4064 c=20.6627 alpha=90.00 beta=90.00 gamma=120.00
Space group R-3 (No. 148, hexagonal axes)
Symmetry-distinct sites (fractional):
1 Na 0.0000 0.0000 0.1668 x6
2 Ni 0.9997 0.3378 0.3723 x18
3 P 0.9999 0.3256 0.5995 x18

**Excess energy over the best structure of this formula in the dataset**: 0 meV/atom
**Calculated total energy**: -5.367 eV/atom
**Calculated volume**: 734.42 Å³/cell
**Magnetic moment**: 0.00 μB/f.u.
**Formation energy**: -2.68 eV per formula unit

***

(2)
A geometry-optimized NaNi6P2 structure. Source: Alexandria via LeMat-Bulk, functional PBE-GGA.

Unit cell a=3.760 b=3.760 c=7.942 alpha=90.00 beta=90.00 gamma=90.00
Space group P4/mmm (No. 123)
Symmetry-distinct sites (fractional):
1 Na 0.000 0.000 0.000 x1
2 Ni 0.000 0.000 0.500 x1
3 Ni 0.000 0.500 0.292 x4
4 Ni 0.500 0.500 0.500 x1
5 P 0.500 0.500 0.150 x2

**Calculated total energy**: -5.466 eV/atom
**Calculated volume**: 112.30 Å³/cell
**Magnetic moment**: 0.94 μB/f.u.
**Formation energy**: -2.37 eV per formula unit

***

(3)
A geometry-optimized NaNi5P4 structure. Source: Alexandria via LeMat-Bulk, functional PBE-GGA.

Unit cell a=6.546 b=11.183 c=3.840 alpha=90.00 beta=90.00 gamma=90.00
Space group Pmmn (No. 59, origin choice 2)
Symmetry-distinct sites (fractional):
1 Na 0.250 0.250 0.048 x2
2 Ni 0.060 0.564 0.252 x8
3 Ni 0.250 0.750 0.975 x2
4 P 0.070 0.750 0.471 x4
5 P 0.250 0.515 0.762 x4

**Calculated total energy**: -5.573 eV/atom
**Calculated volume**: 281.10 Å³/cell
**Magnetic moment**: 0.00 μB/f.u.
**Formation energy**: -3.87 eV per formula unit

***

(4)
A geometry-optimized NaNi5P2 structure. Source: Alexandria via LeMat-Bulk, functional PBE-GGA.

Unit cell a=3.550 b=6.494 c=8.967 alpha=90.00 beta=90.00 gamma=90.00
Space group Immm (No. 71)
Symmetry-distinct sites (fractional):
1 Na 0.000 0.000 0.000 x2
2 Ni 0.000 0.190 0.344 x8
3 Ni 0.000 0.500 0.000 x2
4 P 0.000 0.500 0.244 x4

**Calculated total energy**: -5.547 eV/atom
**Calculated volume**: 206.70 Å³/cell
**Magnetic moment**: 0.00 μB/f.u.
**Formation energy**: -3.33 eV per formula unit

***

(5)
A geometry-optimized NaNi4P3 structure. Source: Alexandria via LeMat-Bulk, functional PBE-GGA.

Unit cell a=3.823 b=3.823 c=7.200 alpha=90.00 beta=90.00 gamma=90.00
Space group P4/mmm (No. 123)
Symmetry-distinct sites (fractional):
1 Na 0.000 0.000 0.000 x1
2 Ni 0.000 0.500 0.321 x4
3 P 0.000 0.000 0.500 x1
4 P 0.500 0.500 0.158 x2

**Calculated total energy**: -5.594 eV/atom
**Calculated volume**: 105.21 Å³/cell
**Magnetic moment**: 0.00 μB/f.u.
**Formation energy**: -4.08 eV per formula unit

***

(6)
A geometry-optimized NaNi5P3 structure. Source: Alexandria via LeMat-Bulk, functional PBE-GGA.

Unit cell a=3.535 b=11.752 c=11.524 alpha=90.00 beta=90.00 gamma=90.00
Space group Cmcm (No. 63)
Symmetry-distinct sites (fractional):
1 Na 0.000 0.160 0.250 x4
2 Ni 0.000 0.000 0.000 x4
3 Ni 0.000 0.199 0.568 x8
4 Ni 0.000 0.449 0.144 x8
5 P 0.000 0.115 0.750 x4
6 P 0.000 0.381 0.541 x8

**Calculated total energy**: -5.685 eV/atom
**Calculated volume**: 478.80 Å³/cell
**Magnetic moment**: 0.00 μB/f.u.
**Formation energy**: -4.71 eV per formula unit

***

(7)
A geometry-optimized Na2NiP structure. Source: Alexandria via LeMat-Bulk, functional PBE-GGA.

Unit cell a=10.825 b=10.825 c=4.107 alpha=90.00 beta=90.00 gamma=90.00
Space group I-42d (No. 122)
Symmetry-distinct sites (fractional):
1 Na 0.003 0.250 0.125 x8
2 Ni 0.000 0.000 0.000 x4
3 P 0.000 0.000 0.500 x4

**Calculated total energy**: -3.643 eV/atom
**Calculated volume**: 481.28 Å³/cell
**Magnetic moment**: 0.00 μB/f.u.
**Formation energy**: -0.74 eV per formula unit

***

(8)
A geometry-optimized NaNiP3 structure. Source: Alexandria via LeMat-Bulk, functional PBE-GGA.

Unit cell a=7.691 b=6.348 c=7.731 alpha=90.00 beta=107.85 gamma=90.00
Space group P2_1/c (No. 14)
Symmetry-distinct sites (fractional):
1 Na 0.137 0.092 0.212 x4
2 Ni 0.479 0.726 0.579 x4
3 P 0.213 0.608 0.093 x4
4 P 0.280 0.000 0.884 x4
5 P 0.458 0.084 0.643 x4

**Excess energy over the best structure of this formula in the dataset**: 0 meV/atom
**Calculated total energy**: -4.927 eV/atom
**Calculated volume**: 359.26 Å³/cell
**Magnetic moment**: 0.00 μB/f.u.
**Formation energy**: -1.31 eV per formula unit

***

(9)
A geometry-optimized NaNi3P structure. Source: Alexandria via LeMat-Bulk, functional PBE-GGA.

Unit cell a=4.295 b=4.295 c=4.295 alpha=90.00 beta=90.00 gamma=90.00
Space group Pm-3m (No. 221)
Symmetry-distinct sites (fractional):
1 Na 0.000 0.000 0.000 x1
2 Ni 0.000 0.000 0.500 x3
3 P 0.500 0.500 0.500 x1

**Excess energy over the best structure of this formula in the dataset**: 1711 meV/atom
**Calculated total energy**: -3.123 eV/atom
**Calculated volume**: 79.22 Å³/cell
**Magnetic moment**: 0.28 μB/f.u.
**Formation energy**: 8.46 eV per formula unit

***

(10)
A geometry-optimized NaNi3P structure. Source: Alexandria via LeMat-Bulk, functional PBE-GGA.

Unit cell a=4.244 b=4.244 c=4.244 alpha=90.00 beta=90.00 gamma=90.00
Space group Pm-3m (No. 221)
Symmetry-distinct sites (fractional):
1 Na 0.000 0.000 0.000 x1
2 Ni 0.000 0.500 0.500 x3
3 P 0.500 0.500 0.500 x1

**Excess energy over the best structure of this formula in the dataset**: 0 meV/atom
**Calculated total energy**: -4.834 eV/atom
**Calculated volume**: 76.46 Å³/cell
**Magnetic moment**: 0.30 μB/f.u.
**Formation energy**: -0.10 eV per formula unit

***

(11)
A geometry-optimized Na2Ni2P structure. Source: Alexandria via LeMat-Bulk, functional PBE-GGA.

Unit cell a=5.786 b=5.786 c=4.896 alpha=90.00 beta=90.00 gamma=90.00
Space group P4/mbm (No. 127)
Symmetry-distinct sites (fractional):
1 Na 0.176 0.324 0.000 x4
2 Ni 0.157 0.657 0.500 x4
3 P 0.000 0.000 0.500 x2

**Calculated total energy**: -4.048 eV/atom
**Calculated volume**: 163.89 Å³/cell
**Magnetic moment**: 0.00 μB/f.u.
**Formation energy**: -0.63 eV per formula unit

***

(12)
A geometry-optimized NaNiP3 structure. Source: Alexandria via LeMat-Bulk, functional PBE-GGA.

Unit cell a=4.725 b=4.725 c=4.725 alpha=90.00 beta=90.00 gamma=90.00
Space group Pm-3m (No. 221)
Symmetry-distinct sites (fractional):
1 Na 0.000 0.000 0.000 x1
2 Ni 0.500 0.500 0.500 x1
3 P 0.000 0.000 0.500 x3

**Excess energy over the best structure of this formula in the dataset**: 2054 meV/atom
**Calculated total energy**: -2.873 eV/atom
**Calculated volume**: 105.52 Å³/cell
**Magnetic moment**: 0.90 μB/f.u.
**Formation energy**: 8.96 eV per formula unit

***

Q: What is the calculated total energy in the eleventh record?
A: -4.048 eV/atom

***

Q: Which value of magnetic moment does entry 10 give?
A: 0.30 μB/f.u.